# La5Pr4Ho3

A relaxed structure of La5Pr4Ho3 (PBE-GGA, Alexandria via LeMat-Bulk).

abc: 5.8485 9.7559 9.8198
angles: 113.36 72.68 72.56
Last column: nearest neighbours and their distance in Å.
Positions (direct):
Ho: 0.4570 0.3603 0.7258  1 La 3.02
Ho: 0.5430 0.6397 0.2742  1 La 3.02
La: 0.3203 0.2878 0.0715  2 Ho 3.40-3.65, 4 Pr 3.48-3.71
La: 0.2538 0.0770 0.4154  3 Pr 3.52-3.75, 2 Ho 3.55-3.58, 2 La 3.94
La: 0.6797 0.7122 0.9285  2 Ho 3.40-3.65, 4 Pr 3.48-3.71
La: 0.5000 0.5000 0.5000  4 Ho 2.92-3.02, 2 Pr 2.97
Pr: 0.0516 0.7503 0.1466  1 Pr 3.40, 3 La 3.48-3.52, 3 Ho 3.51-3.67
Pr: 0.9484 0.2497 0.8534  1 Pr 3.40, 3 La 3.48-3.52, 3 Ho 3.51-3.67
Pr: 0.1758 0.8557 0.7927  1 La 2.97
Pr: 0.8242 0.1443 0.2073  1 La 2.97
Ho: 0.0000 0.5000 0.5000  2 La 2.92
La: 0.7462 0.9230 0.5846  3 Pr 3.52-3.75, 2 Ho 3.55-3.58, 2 La 3.94

Values from the calculation:
total DFT energy (no corrections): -54.76 eV for the cell shown
DFT formation energy: 227.4 meV/atom